This record from Alexandria via LeMat-Bulk describes BaLa2AlCo after structural relaxation. The functional is PBE.

Cell: 5.4396 5.4396 5.0280 Å, 90.00 90.00 90.00°
Space group P4/mmm (No. 123)
Asymmetric unit:
1 Ba 0.0000 0.0000 0.0000 x1
2 La 0.0000 0.5000 0.5000 x2
3 Al 0.5000 0.5000 0.0000 x1
4 Co 0.5000 0.5000 0.5000 x1

VASP energy (eV per atom): -4.617
Formation energy (eV per atom): -0.092

***

This record from Alexandria via LeMat-Bulk describes Rb2P2PdS6 after structural relaxation. The functional is PBE.

Cell: 6.8520 6.8520 20.6866 Å, 90.00 90.00 120.00°
Space group R-3m (No. 166, hexagonal axes)
Asymmetric unit:
1 Rb 0.0000 0.0000 0.2324 x6
2 P 0.0000 0.0000 0.4256 x6
3 Pd 0.0000 0.0000 0.0000 x3
4 S 0.0048 0.5024 0.7479 x18

Energy relative to the elements, uncorrected (eV/f.u.): -5.56
VASP energy (eV per atom): -4.389

***

This record from Alexandria via LeMat-Bulk describes Mg5Sc3 after structural relaxation. The functional is PBE.

Cell: 5.5856 16.5024 8.6973 Å, 90.00 108.73 90.00°
Space group Cm (No. 8)
Asymmetric unit:
1 Mg 0.0002 0.0000 0.9999 x2
2 Mg 0.0000 0.5000 0.0000 x2
3 Mg 0.0844 0.0956 0.6678 x4
4 Mg 0.1542 0.3337 0.8081 x4
5 Mg 0.3461 0.3340 0.1913 x4
6 Mg 0.4160 0.0955 0.3321 x4
7 Sc 0.0731 0.5000 0.6439 x2
8 Sc 0.2503 0.1782 0.0001 x4
9 Sc 0.2500 0.2501 0.4995 x4
10 Sc 0.4274 0.5000 0.3561 x2

VASP energy (eV per atom): -3.262
Formation energy (eV per atom): 0.109

***

This record from Alexandria via LeMat-Bulk describes MnTlHg after structural relaxation. The functional is PBE.

Cell: 3.3580 3.3580 6.9441 Å, 90.00 90.00 120.00°
Space group P3m1 (No. 156)
Asymmetric unit:
1 Mn 0.0000 0.0000 0.0000 x1
2 Tl 0.3333 0.6667 0.3251 x1
3 Hg 0.6667 0.3333 0.7010 x1

VASP energy (eV per atom): -3.563
Formation energy (eV per atom): 0.383

***

This record from Alexandria via LeMat-Bulk describes NpTlAsO5 after structural relaxation. The functional is PBE.

Cell: 7.4350 10.0948 7.9521 Å, 90.00 102.93 90.00°
Space group C2/c (No. 15)
Asymmetric unit:
1 Np 0.0000 0.0000 0.0000 x4
2 Tl 0.0000 0.3408 0.2500 x4
3 As 0.0000 0.3130 0.7500 x4
4 O 0.0000 0.0761 0.2500 x4
5 O 0.0955 0.2061 0.6214 x8
6 O 0.2430 0.0600 0.0263 x8

Energy relative to the elements, uncorrected (eV/f.u.): -14.91
VASP energy (eV per atom): -7.457

***

This record from Alexandria via LeMat-Bulk describes Ce2Cu2Ni5Rh after structural relaxation. The functional is PBE.

Cell: 8.7945 8.7945 3.8209 Å, 90.00 90.00 90.00°
Space group P4/mbm (No. 127)
Asymmetric unit:
1 Ce 0.1885 0.3115 0.0000 x4
2 Cu 0.1095 0.6095 0.0000 x4
3 Ni 0.0000 0.5000 0.5000 x2
4 Ni 0.0590 0.7920 0.5000 x8
5 Rh 0.0000 0.0000 0.0000 x2

VASP energy (eV per atom): -5.833
Formation energy (eV per atom): -0.202

***

This record from Alexandria via LeMat-Bulk describes K2TmSnTe4 after structural relaxation. The functional is PBE.

Cell: 7.8401 4.4290 8.6466 Å, 90.00 106.95 90.00°
Space group P2/m (No. 10)
Asymmetric unit:
1 K 0.0000 0.0000 0.0000 x1
2 K 0.5000 0.5000 0.0000 x1
3 Tm 0.0000 0.5000 0.5000 x1
4 Sn 0.5000 0.0000 0.5000 x1
5 Te 0.2314 0.0000 0.7043 x2
6 Te 0.2602 0.5000 0.2954 x2

Energy relative to the elements, uncorrected (eV/f.u.): -7.62
VASP energy (eV per atom): -3.858

***

This record from Alexandria via LeMat-Bulk describes IrPb2Au after structural relaxation. The functional is PBE.

Cell: 3.5043 3.5043 25.6696 Å, 90.00 90.00 120.00°
Space group R-3m (No. 166, hexagonal axes)
Asymmetric unit:
1 Ir 0.0000 0.0000 0.0000 x3
2 Pb 0.0000 0.0000 0.2556 x6
3 Au 0.0000 0.0000 0.5000 x3

VASP energy (eV per atom): -4.562
Formation energy (eV per atom): 0.327

***

Fermi-level density of states readings, ordered: 4.85, 11.56, 42.68, 1.63, 7.32, 18.32, 2.69, 7.11 states/eV per cell